Crystalline LaHfRh2 at its relaxed geometry, computed with PBE.

The structure belongs to space group P4/mmm (No. 123); the cell edges are 3.335, 3.335 and 7.225 Å and the angles 90.00°, 90.00° and 90.00°. The distinct sites, in fractional coordinates, are La at (0.000, 0.000, 0.000), Hf at (0.000, 0.000, 0.500) and Rh at (0.500, 0.500, 0.294).

The theoretical density comes out at 10.812 g/cm3. The crystal system is tetragonal. As for the formation energy: -0.769 eV per atom.